(P)
VASP calculation (PBE) on an optimized crystal structure of AgSb2TeIr.

As for the total magnetization: 0.0 μB/f.u.

Cell lengths 5.177, 5.177, 5.284 Å; angles 90.00, 90.00, 90.00 degrees
Fractional positions:
1 Te 0.000 0.000 0.500
2 Ir 0.500 0.500 0.500
3 Ag 0.000 0.000 0.000
4 Sb 0.500 0.000 0.000
5 Sb 0.000 0.500 0.000

=====

(Q)
VASP calculation (PBE) on an optimized crystal structure of AgSb2TeIr.

As for the total magnetization: 0.0 μB/f.u.

Cell lengths 5.026, 5.026, 5.824 Å; angles 90.00, 90.00, 90.00 degrees
Fractional positions:
1 Ir 0.000 0.000 0.000
2 Ag 0.500 0.500 0.500
3 Sb 0.500 0.000 0.000
4 Sb 0.000 0.500 0.000
5 Te 0.000 0.000 0.500

=====

Which of them is the most stable, and which is the least stable? (Q) and (P), in that order.

=====

(P)
VASP calculation (PBE) on an optimized crystal structure of ScAg2Ir.

As for the total magnetization: 0.0 μB/f.u.

Cell lengths 4.626, 4.626, 4.626 Å; angles 60.00, 60.00, 60.00 degrees
Fractional positions:
1 Ag 0.250 0.250 0.250
2 Ag 0.000 0.000 0.000
3 Ir 0.500 0.500 0.500
4 Sc 0.750 0.750 0.750

=====

(Q)
VASP calculation (PBE) on an optimized crystal structure of ScAg2Ir.

As for the total magnetization: 0.0 μB/f.u.

Cell lengths 4.884, 4.884, 3.160 Å; angles 90.00, 90.00, 112.18 degrees
Fractional positions:
1 Ag 0.500 0.500 0.000
2 Ag 0.000 0.000 0.000
3 Ir 0.500 0.000 0.500
4 Sc 0.000 0.500 0.500

=====

(R)
VASP calculation (PBE) on an optimized crystal structure of ScAg2Ir.

As for the total magnetization: 0.0 μB/f.u.

Cell lengths 5.071, 3.031, 4.648 Å; angles 86.65, 90.00, 90.00 degrees
Fractional positions:
1 Ir 0.500 0.250 0.250
2 Ag 0.000 0.015 0.005
3 Ag 0.000 0.485 0.495
4 Sc 0.500 0.750 0.750

=====

Which of them is the most stable, and which is the least stable? (P) and (Q), in that order.

=====

(P)
VASP calculation (PBE) on an optimized crystal structure of ScAgIr.

As for the total magnetization: 0.0 μB/f.u.

Cell lengths 5.321, 5.321, 3.333 Å; angles 71.75, 71.75, 36.50 degrees
Fractional positions:
1 Ir 0.680 0.680 0.320
2 Sc 0.318 0.318 0.682
3 Ag 0.002 0.002 0.998

=====

(Q)
VASP calculation (PBE) on an optimized crystal structure of ScAgIr.

As for the total magnetization: 0.0 μB/f.u.

Cell lengths 4.411, 4.411, 4.411 Å; angles 60.00, 60.00, 60.00 degrees
Fractional positions:
1 Ir 0.500 0.500 0.500
2 Sc 0.750 0.750 0.750
3 Ag 0.000 0.000 0.000

=====

(R)
VASP calculation (PBE) on an optimized crystal structure of ScAgIr.

As for the total magnetization: 0.0 μB/f.u.

Cell lengths 4.506, 4.506, 2.955 Å; angles 90.00, 90.00, 120.00 degrees
Fractional positions:
1 Ag 0.000 0.000 0.990
2 Ir 0.667 0.333 0.355
3 Sc 0.333 0.667 0.655

=====

(S)
VASP calculation (PBE) on an optimized crystal structure of ScAgIr.

As for the total magnetization: 0.0 μB/f.u.

Cell lengths 3.043, 3.043, 6.735 Å; angles 90.00, 90.00, 120.00 degrees
Fractional positions:
1 Ir 0.667 0.333 0.355
2 Ag 0.000 0.000 0.001
3 Sc 0.333 0.667 0.644

=====

Which of them is the most stable, and which is the least stable? (P) and (Q), in that order.